1.
# Er12Cu6Ni | Alexandria | PBE | optimized geometry
# - Crystal system: trigonal
# - Formation energy: -0.0143 eV per atom
# - Calculated density: 8.24 g/cm3
data_Er12Cu6Ni
_space_group_name_H-M_alt 'R -3'
_space_group_IT_number 148
_space_group_name_Hall '-R 3'
_cell_length_a 12.0940
_cell_length_b 12.0940
_cell_length_c 11.6733
_cell_angle_alpha 90.00
_cell_angle_beta 90.00
_cell_angle_gamma 120.00
loop_
_atom_site_label
_atom_site_type_symbol
_atom_site_fract_x
_atom_site_fract_y
_atom_site_fract_z
Er1 Er 0.0259 0.8250 0.3903
Er2 Er 0.0404 0.8447 0.8768
Cu1 Cu 0.0438 0.7707 0.6436
Ni1 Ni 0.0000 0.0000 0.0000

***

2.
# Er2CuNi4P3 | Alexandria | PBE | optimized geometry
# - Crystal system: tetragonal
# - Formation energy: -0.8818 eV per atom
# - Calculated density: 8.52 g/cm3
data_Er2CuNi4P3
_space_group_name_H-M_alt 'P -4 m 2'
_space_group_IT_number 115
_cell_length_a 3.892
_cell_length_b 3.892
_cell_length_c 9.340
_cell_angle_alpha 90.00
_cell_angle_beta 90.00
_cell_angle_gamma 90.00
loop_
_space_group_symop_operation_xyz
'x,y,z'
'y,-x,-z'
'-x,-y,z'
'-y,x,-z'
'-x,y,z'
'-y,-x,-z'
'x,-y,z'
'y,x,-z'
loop_
_atom_site_label
_atom_site_type_symbol
_atom_site_fract_x
_atom_site_fract_y
_atom_site_fract_z
Er1 Er 0.000 0.500 0.248
Cu1 Cu 0.000 0.000 0.500
Ni1 Ni 0.000 0.000 0.000
Ni2 Ni 0.000 0.500 0.632
Ni3 Ni 0.500 0.500 0.000
P1 P 0.000 0.500 0.866
P2 P 0.500 0.500 0.500

***

3.
# Er2CuNi3P4 | Alexandria | PBE | optimized geometry
# - Crystal system: tetragonal
# - Formation energy: -0.8993 eV per atom
# - Calculated density: 8.01 g/cm3
data_Er2CuNi3P4
_space_group_name_H-M_alt 'P -4 m 2'
_space_group_IT_number 115
_cell_length_a 3.977
_cell_length_b 3.977
_cell_length_c 9.146
_cell_angle_alpha 90.00
_cell_angle_beta 90.00
_cell_angle_gamma 90.00
loop_
_space_group_symop_operation_xyz
'x,y,z'
'y,-x,-z'
'-x,-y,z'
'-y,x,-z'
'-x,y,z'
'-y,-x,-z'
'x,-y,z'
'y,x,-z'
loop_
_atom_site_label
_atom_site_type_symbol
_atom_site_fract_x
_atom_site_fract_y
_atom_site_fract_z
Er1 Er 0.000 0.500 0.245
Cu1 Cu 0.000 0.000 0.500
Ni1 Ni 0.000 0.500 0.883
Ni2 Ni 0.500 0.500 0.500
P1 P 0.000 0.000 0.000
P2 P 0.000 0.500 0.637
P3 P 0.500 0.500 0.000

***

4.
# ErPaCuNi | Alexandria | PBE | optimized geometry
# - Crystal system: cubic
# - Formation energy: -0.1086 eV per atom
# - Calculated density: 11.05 g/cm3
data_ErPaCuNi
_space_group_name_H-M_alt 'F -4 3 m'
_space_group_IT_number 216
_space_group_name_Hall 'F -4 2 3'
_cell_length_a 6.790
_cell_length_b 6.790
_cell_length_c 6.790
_cell_angle_alpha 90.00
_cell_angle_beta 90.00
_cell_angle_gamma 90.00
loop_
_atom_site_label
_atom_site_type_symbol
_atom_site_fract_x
_atom_site_fract_y
_atom_site_fract_z
Er1 Er 0.000 0.000 0.000
Pa1 Pa 0.000 0.000 0.500
Cu1 Cu 0.250 0.250 0.750
Ni1 Ni 0.250 0.250 0.250